The following is a DFT calculation (PBE) of a relaxed structure of Hf4Fe3Ir.

The formation energy is -480 meV/atom.

a b c (Å): 3.2113 4.4911 8.9250
angles (deg): 90.00 90.00 90.00
Space group Pmmm (No. 47)
Asymmetric unit:
Hf (0.0000, 0.0000, 0.0000) (multiplicity 1)
Hf (0.0000, 0.0000, 0.5000) (multiplicity 1)
Hf (0.0000, 0.5000, 0.2411) (multiplicity 2)
Fe (0.5000, 0.0000, 0.2501) (multiplicity 2)
Fe (0.5000, 0.5000, 0.0000) (multiplicity 1)
Ir (0.5000, 0.5000, 0.5000) (multiplicity 1)


The following is a DFT calculation (PBE) of a relaxed structure of VSn.

The formation energy is 293 meV/atom.

a b c (Å): 4.2155 12.3817 4.7830
angles (deg): 90.00 90.00 90.00
Space group Pmmn (No. 59, origin choice 2)
Asymmetric unit:
V (0.2500, 0.1455, 0.1951) (multiplicity 4)
V (0.2500, 0.7500, 0.7861) (multiplicity 2)
Sn (0.2500, 0.2500, 0.6976) (multiplicity 2)
Sn (0.2500, 0.5040, 0.7269) (multiplicity 4)


The following is a DFT calculation (PBE) of a relaxed structure of PCBrCl2.

As for the final energy: -0.0683 hartree per atom.

a b c (Å): 5.3135 5.3135 5.1756
angles (deg): 90.00 90.00 90.00
Space group P4/mmm (No. 123)
Asymmetric unit:
P (0.0000, 0.0000, 0.0000) (multiplicity 1)
C (0.5000, 0.5000, 0.0000) (multiplicity 1)
Br (0.0000, 0.0000, 0.5000) (multiplicity 1)
Cl (0.0000, 0.5000, 0.5000) (multiplicity 2)


The following is a DFT calculation (PBE) of a relaxed structure of MgSiNiRh.

As for the final energy: -0.2047 hartree per atom.

a b c (Å): 5.9267 5.9267 5.9267
angles (deg): 90.00 90.00 90.00
Space group F-43m (No. 216)
Asymmetric unit:
Mg (0.0000, 0.0000, 0.0000) (multiplicity 4)
Si (0.0000, 0.0000, 0.5000) (multiplicity 4)
Ni (0.2500, 0.2500, 0.7500) (multiplicity 4)
Rh (0.2500, 0.2500, 0.2500) (multiplicity 4)


The following is a DFT calculation (PBE) of a relaxed structure of Ac4Ga3.

The formation energy is -418 meV/atom.

a b c (Å): 12.9297 12.9297 4.8099
angles (deg): 90.00 90.00 120.00
Space group P-3 (No. 147)
Asymmetric unit:
Ac (0.0155, 0.2440, 0.2481) (multiplicity 6)
Ac (0.1349, 0.6126, 0.2533) (multiplicity 6)
Ga (0.0000, 0.0000, 0.0000) (multiplicity 1)
Ga (0.1601, 0.4368, 0.7511) (multiplicity 6)
Ga (0.3333, 0.6667, 0.7547) (multiplicity 2)


The following is a DFT calculation (PBE) of a relaxed structure of Na2HfBPt.

The formation energy is 605 meV/atom.

a b c (Å): 4.7027 4.7027 4.1338
angles (deg): 90.00 90.00 90.00
Space group P4/mmm (No. 123)
Asymmetric unit:
Na (0.0000, 0.5000, 0.0000) (multiplicity 2)
Hf (0.0000, 0.0000, 0.5000) (multiplicity 1)
B (0.5000, 0.5000, 0.0000) (multiplicity 1)
Pt (0.5000, 0.5000, 0.5000) (multiplicity 1)


The following is a DFT calculation (PBE) of a relaxed structure of Sr3ZnPt8.

The formation energy is -714 meV/atom.

a b c (Å): 5.5120 5.5120 26.8198
angles (deg): 90.00 90.00 120.00
Space group R3m (No. 160, hexagonal axes)
Asymmetric unit:
Sr (0.0000, 0.0000, 0.0000) (multiplicity 3)
Sr (0.0000, 0.0000, 0.1284) (multiplicity 3)
Sr (0.0000, 0.0000, 0.5107) (multiplicity 3)
Zn (0.0000, 0.0000, 0.6361) (multiplicity 3)
Pt (0.0000, 0.0000, 0.3151) (multiplicity 3)
Pt (0.0000, 0.0000, 0.8160) (multiplicity 3)
Pt (0.0011, 0.5006, 0.5673) (multiplicity 9)
Pt (0.1684, 0.3369, 0.3975) (multiplicity 9)


The following is a DFT calculation (PBE) of a relaxed structure of Rb2CaC.

The formation energy is 893 meV/atom.

a b c (Å): 12.9186 12.9186 4.6926
angles (deg): 90.00 90.00 90.00
Space group I-42d (No. 122)
Asymmetric unit:
Rb (0.0705, 0.2500, 0.1250) (multiplicity 8)
Ca (0.0000, 0.0000, 0.5000) (multiplicity 4)
C (0.0000, 0.0000, 0.0000) (multiplicity 4)


The following is a DFT calculation (PBE) of a relaxed structure of WBr.

As for the final energy: -0.2417 hartree per atom.

a b c (Å): 8.7793 8.7793 8.7793
angles (deg): 90.00 90.00 90.00
Space group I-43m (No. 217)
Asymmetric unit:
W (0.0993, 0.0993, 0.9007) (multiplicity 8)
Br (0.2300, 0.2300, 0.2300) (multiplicity 8)


The following is a DFT calculation (PBE) of a relaxed structure of InTcSeBr2.

As for the final energy: -0.1134 hartree per atom.

a b c (Å): 5.3374 5.3374 5.9362
angles (deg): 90.00 90.00 90.00
Space group P4/mmm (No. 123)
Asymmetric unit:
In (0.0000, 0.0000, 0.0000) (multiplicity 1)
Tc (0.0000, 0.0000, 0.5000) (multiplicity 1)
Se (0.5000, 0.5000, 0.5000) (multiplicity 1)
Br (0.0000, 0.5000, 0.0000) (multiplicity 2)


The following is a DFT calculation (PBE) of a relaxed structure of Er8FeTe2.

As for the final energy: -0.1832 hartree per atom.

a b c (Å): 13.5491 6.9112 6.8922
angles (deg): 90.00 94.28 90.00
Space group C2/m (No. 12)
Asymmetric unit:
Er (0.0837, 0.2369, 0.2872) (multiplicity 8)
Er (0.1090, 0.5000, 0.8919) (multiplicity 4)
Er (0.1620, 0.0000, 0.8313) (multiplicity 4)
Fe (0.0000, 0.0000, 0.0000) (multiplicity 2)
Te (0.2288, 0.5000, 0.5610) (multiplicity 4)


The following is a DFT calculation (PBE) of a relaxed structure of HgPdPtI2.

As for the final energy: -0.0651 hartree per atom.

a b c (Å): 5.6973 5.6973 5.1584
angles (deg): 90.00 90.00 90.00
Space group P4/mmm (No. 123)
Asymmetric unit:
Hg (0.0000, 0.0000, 0.0000) (multiplicity 1)
Pd (0.0000, 0.0000, 0.5000) (multiplicity 1)
Pt (0.5000, 0.5000, 0.5000) (multiplicity 1)
I (0.0000, 0.5000, 0.0000) (multiplicity 2)